# GaAgMoF6 (PBE with a Hubbard U, relaxed)
# Mass density in Mg/m³: 4.46
# Energy in eV/atom: -4.691
data_GaAgMoF6
_cell_length_a 5.7547
_cell_length_b 5.7547
_cell_length_c 10.0599
_cell_angle_alpha 90.00
_cell_angle_beta 90.00
_cell_angle_gamma 120.00
_symmetry_space_group_name_H-M 'P -3 1 c'
_symmetry_Int_Tables_number 163
_symmetry_space_group_name_Hall '-P 3 2c'
loop_
_atom_site_label
_atom_site_type_symbol
_atom_site_fract_x
_atom_site_fract_y
_atom_site_fract_z
Ga1 Ga 0.3333 0.6667 0.2500
Ag1 Ag 0.0000 0.0000 0.0000
Mo1 Mo 0.3333 0.6667 0.7500
F1 F 0.0060 0.3647 0.6423